Computed, not measured: a geometry-optimized K3Ni2PdO6 structure at the PBE with a Hubbard U level of DFT.

Cell: 5.488 9.511 6.176 Å, 90.00 107.17 90.00°
Space group C2/m (No. 12)
Symmetry-distinct sites (fractional):
K 0.000 0.000 0.000 (multiplicity 2)
K 0.000 0.331 0.000 (multiplicity 4)
Ni 0.000 0.166 0.500 (multiplicity 4)
Pd 0.000 0.500 0.500 (multiplicity 2)
O 0.221 0.337 0.673 (multiplicity 8)
O 0.232 0.000 0.675 (multiplicity 4)

Calculated values
Calculated total energy (eV for the cell shown): -110.4
Total moment (μB per cell): 6.00
Crystal system: monoclinic
Calculated volume (Å³ per atom): 12.8
Density of states at the Fermi level (states/eV per cell): 17.2